A:
Below is a geometry-optimized ReTc2Pt structure, with properties calculated at the PBE level.

Computed properties:
- size of the total moment (μB per formula unit) = 0.00

Unit cell a=3.273 b=3.273 c=5.653 alpha=90.00 beta=90.00 gamma=90.00
Space group P4/mmm (No. 123)
One atom of each set of equivalent atoms:
1 Re 0.000 0.000 0.000 (multiplicity 1)
2 Tc 0.500 0.500 0.241 (multiplicity 2)
3 Pt 0.000 0.000 0.500 (multiplicity 1)

=====

B:
Below is a geometry-optimized ReTc2Pt structure, with properties calculated at the PBE level.

Computed properties:
- size of the total moment (μB per formula unit) = 0.00

Unit cell a=2.745 b=2.745 c=7.892 alpha=90.00 beta=90.00 gamma=90.00
Space group P4mm (No. 99)
One atom of each set of equivalent atoms:
1 Re 0.000 0.000 0.000 (multiplicity 1)
2 Tc 0.000 0.000 0.482 (multiplicity 1)
3 Tc 0.500 0.500 0.244 (multiplicity 1)
4 Pt 0.500 0.500 0.743 (multiplicity 1)

=====

Most stable = B